Density functional theory data (meta-GGA SCAN) for a crystal of PrSbIr relaxed with PBEsol.

For the total energy, the calculation gives -619.09 eV per cell. Its magnetization is 0.00 Bohr magnetons per cell. The calculation puts the calculated volume at 66.54 Å³/f.u. The value obtained for the formation energy from raw total energies is -1.03 eV/atom. For the density, the calculation gives 11.35 g cm⁻³. Its space group is Pnma, No. 62.

abc: 7.3586 4.5655 7.9224
angles: 90.00 90.00 90.00
With the nearest neighbours (Å) after each atom.
Element x y z (fractional)
Pr 0.0140 0.2500 0.1912  5 Ir 3.06-3.34, 6 Sb 3.21-3.35
Pr 0.4860 0.7500 0.6912  5 Ir 3.06-3.34, 6 Sb 3.21-3.35
Pr 0.5140 0.2500 0.3088  5 Ir 3.06-3.34, 6 Sb 3.21-3.35
Pr 0.9860 0.7500 0.8088  5 Ir 3.06-3.34, 6 Sb 3.21-3.35
Sb 0.1757 0.2500 0.5861  4 Ir 2.68-2.77
Sb 0.3243 0.7500 0.0862  4 Ir 2.68-2.77
Sb 0.6757 0.2500 0.9138  4 Ir 2.68-2.77
Sb 0.8243 0.7500 0.4138  4 Ir 2.68-2.77
Ir 0.2013 0.7500 0.4093  4 Sb 2.68-2.77
Ir 0.2987 0.2500 0.9093  4 Sb 2.68-2.77
Ir 0.7013 0.7500 0.0907  4 Sb 2.68-2.77
Ir 0.7987 0.2500 0.5907  4 Sb 2.68-2.77